First-principles (PBE) data for a relaxed Gd3Mg3Al2Zn crystal, as listed in the Open Quantum Materials Database.

abc: 7.392 7.392 4.512
angles: 90.00 90.00 120.00
Positions (direct):
Gd 0.581 0.000 0.000
Gd 0.419 0.419 0.000
Gd 0.000 0.581 0.000
Mg 0.000 0.241 0.500
Mg 0.759 0.759 0.500
Mg 0.241 0.000 0.500
Al 0.333 0.667 0.500
Al 0.667 0.333 0.500
Zn 0.000 0.000 0.000

---

First-principles (PBE) data for a relaxed TaBeCoGe crystal, as listed in the Open Quantum Materials Database.

abc: 4.207 4.207 4.207
angles: 60.00 60.00 60.00
Last column: magnetic moment on the atom in μB.
Positions (direct):
Be 0.500 0.500 0.500  0.02
Ta 0.250 0.250 0.250  0.66
Ge 0.000 0.000 0.000  0.04
Co 0.750 0.750 0.750  0.94

Energy relative to the lowest polymorph listed for this composition in eV/f.u.: 0.232

---

First-principles (PBE) data for a relaxed SrBe2Mo crystal, as listed in the Open Quantum Materials Database.

abc: 4.615 4.615 4.615
angles: 60.00 60.00 60.00
Last column: magnetic moment on the atom in μB.
Positions (direct):
Be 0.500 0.500 0.500  -0.05
Be 0.250 0.250 0.250  -0.03
Sr 0.000 0.000 0.000  0.09
Mo 0.750 0.750 0.750  1.73

---

First-principles (PBE) data for a relaxed ZrPb crystal, as listed in the Open Quantum Materials Database.

abc: 5.476 6.698 5.437
angles: 90.00 90.00 90.00
Positions (direct):
Zr 0.387 0.500 0.500
Zr 0.448 0.743 0.000
Zr 0.950 0.500 0.000
Zr 0.448 0.257 0.000
Pb 0.883 0.269 0.500
Pb 0.390 0.000 0.500
Pb 0.883 0.731 0.500
Pb 0.945 0.000 0.000

---

First-principles (PBE) data for a relaxed LuMgTcMo crystal, as listed in the Open Quantum Materials Database.

abc: 4.665 4.665 4.665
angles: 60.00 60.00 60.00
Positions (direct):
Mg 0.750 0.750 0.750
Mo 0.000 0.000 0.000
Tc 0.250 0.250 0.250
Lu 0.500 0.500 0.500

Energy relative to the lowest polymorph listed for this composition in eV/f.u.: 0.000

---

First-principles (PBE) data for a relaxed SmTlCdSe3 crystal, as listed in the Open Quantum Materials Database.

abc: 9.204 9.204 9.444
angles: 104.06 104.06 26.80
Positions (direct):
Se 0.665 0.665 0.798
Se 0.661 0.661 0.373
Se 0.000 0.000 0.500
Se 0.335 0.335 0.202
Se 0.339 0.339 0.627
Se 0.500 0.500 0.000
Cd 0.508 0.508 0.715
Cd 0.492 0.492 0.285
Tl 0.138 0.138 0.068
Tl 0.862 0.862 0.932
Sm 0.826 0.826 0.404
Sm 0.174 0.174 0.596

Energy relative to the lowest polymorph listed for this composition in eV/f.u.: 0.276

---

First-principles (PBE) data for a relaxed HoInPt crystal, as listed in the Open Quantum Materials Database.

abc: 8.141 8.141 3.327
angles: 90.00 90.00 120.00
Positions (direct):
In 0.333 0.667 0.000
In 0.000 0.000 0.500
In 0.667 0.333 0.000
Pt 0.000 0.637 0.500
Pt 0.637 0.000 0.500
Pt 0.363 0.363 0.500
Ho 0.702 0.702 0.000
Ho 0.298 0.000 0.000
Ho 0.000 0.298 0.000

---

First-principles (PBE) data for a relaxed SrTmTh crystal, as listed in the Open Quantum Materials Database.

abc: 5.641 5.641 5.641
angles: 60.00 60.00 60.00
Positions (direct):
Sr 0.250 0.250 0.250
Tm 0.000 0.000 0.000
Th 0.750 0.750 0.750

---

| no. | uncorrected energy (eV/cell) |
| --- | --- |
| 1 | -30.28 |
| 2 | -26.68 |
| 3 | -14.85 |
| 4 | -49.13 |
| 5 | -26.68 |
| 6 | -49.23 |
| 7 | -44.23 |
| 8 | -10.73 |